# PBE with a Hubbard U Tm2NpMnO8, relaxed
data_Tm2NpMnO8
_space_group_name_H-M_alt 'C 1 2/m 1'
_space_group_IT_number 12
_cell_length_a 7.203
_cell_length_b 6.745
_cell_length_c 6.842
_cell_angle_alpha 90.00
_cell_angle_beta 94.72
_cell_angle_gamma 90.00
loop_
_space_group_symop_operation_xyz
'x,y,z'
'-x,-y,-z'
'-x,y,-z'
'x,-y,z'
'x+1/2,y+1/2,z'
'-x+1/2,-y+1/2,-z'
'-x+1/2,y+1/2,-z'
'x+1/2,-y+1/2,z'
loop_
_atom_site_label
_atom_site_fract_x
_atom_site_fract_y
_atom_site_fract_z
_atom_site_occupancy
Tm1 0.028 0.000 0.266 1
Np1 0.000 0.500 0.000 1
Mn1 0.000 0.500 0.500 1
O1 0.000 0.204 0.000 1
O2 0.000 0.212 0.500 1
O3 0.165 0.500 0.745 1
O4 0.204 0.500 0.201 1
# **Density**: 7.60 g/cm³
# **Total DFT energy (no corrections)**: -8.533 eV/atom
# **Total magnetic moment**: 3.976 μB/f.u.